# SrCa2MnO4 (GGA+U, optimized geometry)
# Total magnetization ... 10.00 μB per cell
# Raw total energy ... -6.61 eV/atom
data_SrCa2MnO4
_chemical_formula_sum 'Sr2 Ca4 Mn2 O8'
_cell_length_a 6.0855
_cell_length_b 6.0855
_cell_length_c 11.9625
_cell_angle_alpha 90.00
_cell_angle_beta 90.00
_cell_angle_gamma 147.10
_space_group_name_H-M_alt 'P 1'
_space_group_IT_number 1
_space_group_name_Hall 'P 1'
loop_
_atom_site_label
_atom_site_fract_x
_atom_site_fract_y
_atom_site_fract_z
Sr1 0.1181 0.8819 0.7500
Sr2 0.8819 0.1181 0.2500
Ca1 0.3709 0.6291 0.5382
Ca2 0.3709 0.6291 0.9618
Ca3 0.6291 0.3709 0.0382
Ca4 0.6291 0.3709 0.4618
Mn1 0.1472 0.8528 0.2500
Mn2 0.8528 0.1472 0.7500
O1 0.0000 0.0000 0.0000
O2 0.0000 0.0000 0.5000
O3 0.2612 0.7388 0.1213
O4 0.2612 0.7388 0.3787
O5 0.4519 0.5481 0.7500
O6 0.5481 0.4519 0.2500
O7 0.7388 0.2612 0.6213
O8 0.7388 0.2612 0.8787